A relaxed structure of HoCoO3, computed with GGA+U.

The value obtained for the electronic total energy is -137.98 eV per cell. The value obtained for the magnetic moment is 2.4 μB/f.u.

It has space group Pnma (No. 62), with a = 5.432 Å, b = 8.270 Å, c = 5.487 Å, α = 90.00°, β = 90.00° and γ = 90.00°. Symmetry generates all atoms from Ho at (0.000, 0.000, 0.000), Co at (0.008, 0.250, 0.481), O at (0.144, 0.084, 0.644) and O at (0.145, 0.250, 0.144).